The following is a PBE calculation of crystalline Er2IrRh3 at its relaxed geometry, from the Alexandria database.

Geometry as POSCAR:
```
Er2IrRh3
1.0
5.314 0.000 0.000
-2.657 4.602 0.000
0.000 0.000 8.691
Ir Er Rh
2 4 6
direct
0.000 0.000 0.500 Ir
0.000 0.000 0.000 Ir
0.667 0.333 0.434 Er
0.333 0.667 0.566 Er
0.333 0.667 0.934 Er
0.667 0.333 0.066 Er
0.169 0.338 0.250 Rh
0.831 0.169 0.750 Rh
0.338 0.169 0.750 Rh
0.662 0.831 0.250 Rh
0.831 0.662 0.750 Rh
0.169 0.831 0.250 Rh
```

Output
formation energy from the elements = -772.3 meV/atom
uncorrected energy = -7.45 eV/atom
volume = 212.51 Å³/cell
distance to the lowest polymorph of the same formula = 0.008 eV/atom


The following is a PBE calculation of crystalline ErIr2Rh at its relaxed geometry, from the Alexandria database.

Geometry as POSCAR:
```
ErIr2Rh
1.0
-2.088 -0.943 3.426
1.167 -3.803 -0.335
3.238 0.800 2.194
Er Ir Rh
1 2 1
direct
0.500 0.500 0.500 Er
0.000 0.500 0.000 Ir
0.000 0.000 0.500 Ir
0.500 0.000 0.000 Rh
```

Output
formation energy from the elements = -500.2 meV/atom
uncorrected energy = -7.91 eV/atom
volume = 65.68 Å³/cell


The following is a PBE calculation of crystalline Er12IrRh6 at its relaxed geometry, from the Alexandria database.

Geometry as POSCAR:
```
Er12IrRh6
1.0
-7.478 -1.326 -2.710
4.230 -1.758 -6.636
1.173 -6.756 4.243
Er Rh Ir
12 6 1
direct
0.676 0.919 0.048 Er
0.048 0.676 0.919 Er
0.425 0.824 0.582 Er
0.418 0.575 0.176 Er
0.324 0.081 0.952 Er
0.952 0.324 0.081 Er
0.582 0.425 0.824 Er
0.575 0.176 0.418 Er
0.081 0.952 0.324 Er
0.176 0.418 0.575 Er
0.919 0.048 0.676 Er
0.824 0.582 0.425 Er
0.136 0.619 0.310 Rh
0.381 0.690 0.864 Rh
0.864 0.381 0.690 Rh
0.310 0.136 0.619 Rh
0.690 0.864 0.381 Rh
0.619 0.310 0.136 Rh
0.000 0.000 0.000 Ir
```

Output
formation energy from the elements = -672.6 meV/atom
uncorrected energy = -6.34 eV/atom
volume = 497.01 Å³/cell


The following is a PBE calculation of crystalline Er8IrRh2 at its relaxed geometry, from the Alexandria database.

Geometry as POSCAR:
```
Er8IrRh2
1.0
-2.460 -3.522 4.066
6.322 -3.749 -1.432
1.054 6.228 4.023
Ir Rh Er
1 2 8
direct
0.154 0.999 0.999 Ir
0.488 0.696 0.318 Rh
0.488 0.318 0.696 Rh
0.987 0.211 0.789 Er
0.578 0.342 0.085 Er
0.987 0.789 0.211 Er
0.383 0.925 0.667 Er
0.383 0.667 0.925 Er
0.578 0.085 0.342 Er
0.166 0.358 0.358 Er
0.808 0.644 0.644 Er
```

Output
formation energy from the elements = -490.8 meV/atom
uncorrected energy = -5.95 eV/atom
volume = 286.18 Å³/cell
distance to the lowest polymorph of the same formula = 0.063 eV/atom


The following is a PBE calculation of crystalline Er5IrRh4 at its relaxed geometry, from the Alexandria database.

Geometry as POSCAR:
```
Er5IrRh4
1.0
3.346 0.000 0.000
0.000 3.346 0.000
0.000 0.000 17.468
Rh Ir Er
4 1 5
direct
0.000 0.000 0.400 Rh
0.000 0.000 0.600 Rh
0.000 0.000 0.201 Rh
0.000 0.000 0.799 Rh
0.000 0.000 0.000 Ir
0.500 0.500 0.300 Er
0.500 0.500 0.700 Er
0.500 0.500 0.100 Er
0.500 0.500 0.500 Er
0.500 0.500 0.900 Er
```

Output
formation energy from the elements = -922.8 meV/atom
uncorrected energy = -7.03 eV/atom
volume = 195.61 Å³/cell


The following is a PBE calculation of crystalline Er6Ir5Rh at its relaxed geometry, from the Alexandria database.

Geometry as POSCAR:
```
Er6Ir5Rh
1.0
4.466 -0.027 1.488
0.038 7.054 0.013
-0.002 -0.013 7.451
Er Rh Ir
6 1 5
direct
0.167 0.250 0.666 Er
0.500 0.749 0.000 Er
0.167 0.750 0.666 Er
0.500 0.251 0.000 Er
0.833 0.250 0.334 Er
0.833 0.750 0.334 Er
0.000 0.000 0.000 Rh
0.000 0.500 0.000 Ir
0.334 0.000 0.332 Ir
0.333 0.500 0.334 Ir
0.666 0.000 0.668 Ir
0.667 0.500 0.666 Ir
```

Output
formation energy from the elements = -898.2 meV/atom
uncorrected energy = -7.48 eV/atom
volume = 234.78 Å³/cell